1.
Computed, not measured: Y2MgNi after structural relaxation at the PBE level of DFT.

## Properties
**N(E_F)**: 1.29 states/eV/cell
**Electronic total energy**: -4.99 eV/atom
**Symmetry**: F-43m
**Magnetic moment**: 0.00 μB/f.u.

The structure in POSCAR format:
```
Y2MgNi
1.0
4.9798 0.0000 0.0000
2.4899 4.3127 0.0000
2.4899 1.4376 4.0660
Y Ni Mg
2 1 1
direct
0.2500 0.2500 0.2500 Y
0.0000 0.0000 0.0000 Y
0.7500 0.7500 0.7500 Ni
0.5000 0.5000 0.5000 Mg
```

2.
Computed, not measured: YMgNi10 after structural relaxation at the PBE level of DFT.

## Properties
**N(E_F)**: 15.02 states/eV/cell
**Electronic total energy**: -5.66 eV/atom
**Symmetry**: Pmmm
**Magnetic moment**: 3.44 μB/f.u.

The structure in POSCAR format:
```
YMgNi10
1.0
3.9799 0.0000 0.0000
0.0000 4.8016 0.0000
0.0000 0.0000 8.3137
Mg Ni Y
1 10 1
direct
0.0000 0.5000 0.5000 Mg
0.5000 0.0000 0.5000 Ni
0.5000 0.2506 0.7472 Ni
0.5000 0.5000 0.0000 Ni
0.0000 0.0000 0.3408 Ni
0.0000 0.5000 0.1773 Ni
0.5000 0.7494 0.7472 Ni
0.5000 0.7494 0.2528 Ni
0.0000 0.0000 0.6592 Ni
0.0000 0.5000 0.8227 Ni
0.5000 0.2506 0.2528 Ni
0.0000 0.0000 0.0000 Y
```

3.
Computed, not measured: Y2MgNi after structural relaxation at the PBE level of DFT.

## Properties
**N(E_F)**: 2.38 states/eV/cell
**Electronic total energy**: -5.32 eV/atom
**Symmetry**: Pmmm
**Magnetic moment**: 0.00 μB/f.u.

The structure in POSCAR format:
```
Y2MgNi
1.0
3.4679 0.0000 0.0000
0.0000 3.4863 -0.0166
0.0000 3.5176 7.7835
Y Ni Mg
2 1 1
direct
0.0000 0.4569 0.5432 Y
0.0000 0.0431 0.9568 Y
0.5000 0.7500 0.7500 Ni
0.5000 0.2500 0.2500 Mg
```

4.
Computed, not measured: YMg7Ni5 after structural relaxation at the PBE level of DFT.

## Properties
**N(E_F)**: 7.44 states/eV/cell
**Electronic total energy**: -3.74 eV/atom
**Symmetry**: Imm2
**Magnetic moment**: 0.00 μB/f.u.

The structure in POSCAR format:
```
YMg7Ni5
1.0
4.9130 0.0000 2.0177
2.4467 6.4217 1.0327
0.0170 0.0465 6.9490
Mg Ni Y
7 5 1
direct
0.9764 0.6855 0.3617 Mg
0.2643 0.2357 0.2357 Mg
0.6896 0.3104 0.3104 Mg
0.5014 0.2008 0.7964 Mg
0.3643 0.6357 0.6357 Mg
0.5014 0.7964 0.2008 Mg
0.9764 0.3617 0.6855 Mg
0.4789 0.9994 0.5232 Ni
0.4789 0.5232 0.9994 Ni
0.9985 0.9994 0.5232 Ni
0.9985 0.5232 0.9994 Ni
0.7206 0.7794 0.7794 Ni
0.0507 0.9493 0.9493 Y
```

5.
Computed, not measured: YMg2Ni after structural relaxation at the PBE level of DFT.

## Properties
**N(E_F)**: 2.88 states/eV/cell
**Electronic total energy**: -3.98 eV/atom
**Symmetry**: Immm
**Magnetic moment**: 0.00 μB/f.u.

The structure in POSCAR format:
```
YMg2Ni
1.0
6.1220 0.0301 0.0183
3.3150 5.1469 -0.0183
-4.1555 -3.6148 2.6730
Mg Y Ni
2 1 1
direct
0.5474 0.5474 0.0000 Mg
0.9526 0.9526 0.0000 Mg
0.2500 0.7500 0.5000 Y
0.7500 0.2500 0.5000 Ni
```

6.
Computed, not measured: Y2MgNi after structural relaxation at the PBE level of DFT.

## Properties
**N(E_F)**: 4.85 states/eV/cell
**Electronic total energy**: -5.17 eV/atom
**Symmetry**: P4mm
**Magnetic moment**: 0.27 μB/f.u.

The structure in POSCAR format:
```
Y2MgNi
1.0
-2.1540 0.1465 2.6000
1.8438 -2.2971 1.6569
4.4745 6.0206 3.3676
Y Mg Ni
2 1 1
direct
0.0000 0.0000 0.9308 Y
0.5000 0.5000 0.2731 Y
0.0000 0.0000 0.5593 Mg
0.5000 0.5000 0.7368 Ni
```

7.
Computed, not measured: YMg2Ni after structural relaxation at the PBE level of DFT.

## Properties
**N(E_F)**: 3.40 states/eV/cell
**Electronic total energy**: -3.86 eV/atom
**Symmetry**: P2/m
**Magnetic moment**: 0.00 μB/f.u.

The structure in POSCAR format:
```
YMg2Ni
1.0
4.6128 0.0000 0.0000
0.0000 3.5544 0.0841
0.0000 1.4378 5.2711
Y Mg Ni
1 2 1
direct
0.5000 0.7500 0.7500 Y
0.0000 0.1036 0.0377 Mg
0.0000 0.3964 0.4623 Mg
0.5000 0.2500 0.2500 Ni
```

8.
Computed, not measured: Y4MgNi2 after structural relaxation at the PBE level of DFT.

## Properties
**N(E_F)**: 12.25 states/eV/cell
**Electronic total energy**: -5.74 eV/atom
**Symmetry**: P1
**Magnetic moment**: 0.00 μB/f.u.

The structure in POSCAR format:
```
Y4MgNi2
1.0
-2.8676 -6.4970 -1.1254
-0.1070 0.7729 -7.0279
7.0533 -1.9709 5.1765
Ni Y Mg
4 8 2
direct
0.6568 0.8319 0.1369 Ni
0.5555 0.1107 0.0429 Ni
0.6329 0.4320 0.8012 Ni
0.0492 0.5261 0.9509 Ni
0.8038 0.7466 0.7978 Y
0.8531 0.0777 0.6249 Y
0.8066 0.4566 0.1249 Y
0.5091 0.2604 0.3890 Y
0.0099 0.0368 0.2765 Y
0.3230 0.6901 0.8620 Y
0.3783 0.1221 0.7411 Y
0.3895 0.6634 0.2409 Y
0.1618 0.1778 0.0274 Mg
0.1206 0.6179 0.4834 Mg
```

9.
Computed, not measured: YMgNi4 after structural relaxation at the PBE level of DFT.

## Properties
**N(E_F)**: 8.57 states/eV/cell
**Electronic total energy**: -5.58 eV/atom
**Symmetry**: F-43m
**Magnetic moment**: 0.01 μB/f.u.

The structure in POSCAR format:
```
YMgNi4
1.0
4.9571 0.0000 0.0000
2.4786 4.2930 0.0000
2.4786 1.4310 4.0475
Mg Y Ni
1 1 4
direct
0.2500 0.2500 0.2500 Mg
0.0000 0.0000 0.0000 Y
0.6239 0.1284 0.6239 Ni
0.6239 0.6239 0.1284 Ni
0.1284 0.6239 0.6239 Ni
0.6239 0.6239 0.6239 Ni
```

10.
Computed, not measured: Y2MgNi after structural relaxation at the PBE level of DFT.

## Properties
**N(E_F)**: 4.78 states/eV/cell
**Electronic total energy**: -5.02 eV/atom
**Symmetry**: I-4m2
**Magnetic moment**: 0.00 μB/f.u.

The structure in POSCAR format:
```
Y2MgNi
1.0
5.8759 0.0261 0.0000
2.7286 5.2040 0.0000
-4.3023 -2.6150 3.0296
Ni Y Mg
1 2 1
direct
0.7500 0.2500 0.5000 Ni
0.2500 0.7500 0.5000 Y
0.0000 0.0000 0.0000 Y
0.5000 0.5000 0.0000 Mg
```

11.
Computed, not measured: YMg2Ni after structural relaxation at the PBE level of DFT.

## Properties
**N(E_F)**: 2.26 states/eV/cell
**Electronic total energy**: -3.99 eV/atom
**Symmetry**: Pm
**Magnetic moment**: 0.00 μB/f.u.

The structure in POSCAR format:
```
YMg2Ni
1.0
3.6587 0.0000 0.0000
0.0000 3.8303 -0.0171
0.0000 1.9065 6.3549
Mg Y Ni
2 1 1
direct
0.0000 0.0619 0.0007 Mg
0.5000 0.4379 0.2539 Mg
0.5000 0.7195 0.6849 Y
0.0000 0.2807 0.5604 Ni
```

12.
Computed, not measured: Y6MgNi2 after structural relaxation at the PBE level of DFT.

## Properties
**N(E_F)**: 22.58 states/eV/cell
**Electronic total energy**: -6.00 eV/atom
**Symmetry**: Immm
**Magnetic moment**: 0.00 μB/f.u.

The structure in POSCAR format:
```
Y6MgNi2
1.0
-1.0892 -8.2689 1.4966
6.4254 3.2964 4.4328
-6.8994 4.3094 2.3723
Y Ni Mg
12 4 2
direct
0.4726 0.2893 0.1834 Y
0.1059 0.2893 0.8166 Y
0.6918 0.3707 0.6788 Y
0.5274 0.7107 0.8166 Y
0.3082 0.9870 0.6788 Y
0.8941 0.7107 0.1834 Y
0.7994 0.2343 0.0338 Y
0.3082 0.6293 0.3212 Y
0.7994 0.7657 0.5651 Y
0.2006 0.7657 0.9662 Y
0.6918 0.0130 0.3212 Y
0.2006 0.2343 0.4349 Y
0.6548 0.0000 0.6548 Ni
0.3452 0.0000 0.3452 Ni
0.5000 0.3811 0.8811 Ni
0.5000 0.6189 0.1189 Ni
0.0000 0.0000 0.0000 Mg
0.0000 0.5000 0.5000 Mg
```